# 1
DFT (GGA-PBE) results for crystalline TlCdCl6 at its relaxed geometry.

## Properties
VASP energy   -2.37 eV/atom
ΔE to the lowest computed polymorph   0.044 eV/atom

a b c (Å): 6.701 6.710 6.716
angles (deg): 63.12 66.66 58.31
Element x y z (fractional)
Cl  0.927  0.565  0.313
Cl  0.602  0.257  0.242
Cd  0.500  0.500  0.500
Tl  0.000  0.000  0.000
Cl  0.398  0.743  0.758
Cl  0.073  0.435  0.687
Cl  0.747  0.056  0.770
Cl  0.253  0.944  0.230


# 2
DFT (GGA-PBE) results for crystalline TlCd2Cl2 at its relaxed geometry.

## Properties
VASP energy   -2.03 eV/atom
ΔE to the lowest computed polymorph   0.027 eV/atom

a b c (Å): 8.250 8.250 4.392
angles (deg): 90.00 90.00 90.00
Element x y z (fractional)
Tl  0.000  0.000  0.000
Cl  0.761  0.261  0.500
Cl  0.239  0.739  0.500
Cl  0.739  0.761  0.500
Cd  0.117  0.383  0.000
Tl  0.500  0.500  0.000
Cd  0.883  0.617  0.000
Cd  0.617  0.117  0.000
Cl  0.261  0.239  0.500
Cd  0.383  0.883  0.000


# 3
DFT (GGA-PBE) results for crystalline Tl2Cd2Cl5 at its relaxed geometry.

## Properties
VASP energy   -2.64 eV/atom
ΔE to the lowest computed polymorph   0.009 eV/atom

a b c (Å): 5.430 5.430 8.597
angles (deg): 90.00 90.00 90.00
Element x y z (fractional)
Cl  0.000  0.500  0.786
Cl  0.500  0.000  0.786
Cl  0.500  0.500  0.500
Tl  0.000  0.000  0.500
Cl  0.500  0.000  0.214
Cl  0.000  0.500  0.214
Tl  0.000  0.000  0.000
Cd  0.500  0.500  0.191
Cd  0.500  0.500  0.809


# 4
DFT (GGA-PBE) results for crystalline TlCdCl2 at its relaxed geometry.

## Properties
VASP energy   -2.42 eV/atom
ΔE to the lowest computed polymorph   0.051 eV/atom

a b c (Å): 7.333 7.333 7.333
angles (deg): 150.89 144.18 46.80
Element x y z (fractional)
Cl  0.064  0.064  0.000
Cl  0.768  0.268  0.500
Tl  0.444  0.444  0.000
Cd  0.224  0.724  0.500


# 5
DFT (GGA-PBE) results for crystalline TlCdCl2 at its relaxed geometry.

## Properties
VASP energy   -2.40 eV/atom
ΔE to the lowest computed polymorph   0.064 eV/atom

a b c (Å): 4.022 3.725 7.876
angles (deg): 89.87 90.00 90.00
Element x y z (fractional)
Tl  0.500  0.250  0.250
Cl  0.000  0.752  0.007
Cd  0.500  0.750  0.750
Cl  0.000  0.748  0.493


# 6
DFT (GGA-PBE) results for crystalline TlCdCl at its relaxed geometry.

## Properties
VASP energy   -2.12 eV/atom
ΔE to the lowest computed polymorph   0.052 eV/atom

a b c (Å): 3.647 3.637 15.283
angles (deg): 90.00 90.00 120.08
Element x y z (fractional)
Tl  0.667  0.335  0.668
Cd  0.332  0.664  0.500
Cl  0.222  0.444  0.890
Tl  0.667  0.335  0.332
Cl  0.222  0.444  0.110
Cd  0.556  0.112  0.000


# 7
DFT (GGA-PBE) results for crystalline Tl2Cd2Cl7 at its relaxed geometry.

## Properties
VASP energy   -2.63 eV/atom

a b c (Å): 7.086 7.025 7.086
angles (deg): 89.98 115.50 90.02
Element x y z (fractional)
Cd  0.779  0.000  0.221
Cl  0.500  0.751  0.500
Cd  0.221  0.000  0.779
Cl  0.000  0.750  0.500
Tl  0.224  0.500  0.224
Cl  0.000  0.000  0.000
Tl  0.776  0.500  0.776
Cl  0.500  0.250  0.000
Cl  0.500  0.249  0.500
Cl  0.500  0.750  0.000
Cl  0.000  0.250  0.500


# 8
DFT (GGA-PBE) results for crystalline TlCdCl2 at its relaxed geometry.

## Properties
VASP energy   -2.47 eV/atom
ΔE to the lowest computed polymorph   0.000 eV/atom

a b c (Å): 7.139 7.139 4.037
angles (deg): 91.06 91.06 34.62
Element x y z (fractional)
Tl  0.456  0.456  0.607
Cd  0.242  0.242  0.133
Cl  0.046  0.046  0.121
Cl  0.756  0.756  0.640